(1)
{
  "formula": "Nd2Dy7Tm3",
  "functional": "PBE-GGA",
  "state": "relaxed",
  "cell": [[2.838, -18.815, 0.000], [2.838, 18.815, 0.000], [0.000, 0.000, 3.599]],
  "species": ["Nd", "Nd", "Dy", "Dy", "Dy", "Dy", "Dy", "Dy", "Dy", "Tm", "Tm", "Tm"],
  "fractional_positions": [[0.148, 0.852, 0.000], [0.852, 0.148, 0.000], [0.000, 0.000, 0.000], [0.071, 0.929, 0.500], [0.231, 0.769, 0.000], [0.411, 0.589, 0.000], [0.589, 0.411, 0.000], [0.769, 0.231, 0.000], [0.929, 0.071, 0.500], [0.314, 0.686, 0.500], [0.500, 0.500, 0.500], [0.686, 0.314, 0.500]],
  "volume_a3_per_fu": 384,
  "final_energy_ev_per_cell": -53.76,
  "e_above_lowest_polymorph_ev_per_atom": 0.041,
  "total_magnetization_mub_per_atom": 0.0000,
  "delta_e_f_mev_per_atom": 117
}

***

(2)
{
  "formula": "Nd3Dy8Tm",
  "functional": "PBE-GGA",
  "state": "relaxed",
  "cell": [[-4.374, 4.374, 5.670], [4.374, -4.374, 5.670], [4.374, 4.374, -5.670]],
  "species": ["Nd", "Nd", "Nd", "Dy", "Dy", "Dy", "Dy", "Dy", "Dy", "Dy", "Dy", "Tm"],
  "fractional_positions": [[0.000, 0.000, 0.000], [0.250, 0.750, 0.500], [0.750, 0.250, 0.500], [0.129, 0.380, 0.000], [0.245, 0.245, 0.512], [0.267, 0.755, 0.000], [0.380, 0.129, 0.000], [0.620, 0.620, 0.749], [0.733, 0.733, 0.488], [0.755, 0.267, 0.000], [0.871, 0.871, 0.251], [0.500, 0.500, 0.000]],
  "volume_a3_per_fu": 434,
  "final_energy_ev_per_cell": -48.15,
  "total_magnetization_mub_per_atom": 0.0001,
  "delta_e_f_mev_per_atom": 620
}

***

(3)
{
  "formula": "Nd3DyTm5",
  "functional": "PBE-GGA",
  "state": "relaxed",
  "cell": [[7.676, -5.580, 0.000], [7.676, 5.580, 0.000], [-6.553, 0.000, 7.605]],
  "species": ["Nd", "Nd", "Nd", "Nd", "Nd", "Nd", "Dy", "Dy", "Tm", "Tm", "Tm", "Tm", "Tm", "Tm", "Tm", "Tm", "Tm", "Tm"],
  "fractional_positions": [[0.000, 0.000, 0.000], [0.010, 0.010, 0.715], [0.472, 0.472, 0.812], [0.500, 0.500, 0.500], [0.528, 0.528, 0.188], [0.990, 0.990, 0.285], [0.252, 0.252, 0.400], [0.748, 0.748, 0.600], [0.090, 0.588, 0.933], [0.212, 0.212, 0.702], [0.240, 0.760, 0.500], [0.280, 0.280, 0.090], [0.412, 0.910, 0.067], [0.588, 0.090, 0.933], [0.720, 0.720, 0.910], [0.760, 0.240, 0.500], [0.788, 0.788, 0.298], [0.910, 0.412, 0.067]],
  "volume_a3_per_fu": 326,
  "final_energy_ev_per_cell": -72.92,
  "total_magnetization_mub_per_atom": 0.0000,
  "delta_e_f_mev_per_atom": 534
}

***

(4)
{
  "formula": "Nd12DyTm6",
  "functional": "PBE-GGA",
  "state": "relaxed",
  "cell": [[7.868, 4.543, 2.953], [-7.868, 4.543, 2.953], [0.000, -9.085, 2.953]],
  "species": ["Nd", "Nd", "Nd", "Nd", "Nd", "Nd", "Nd", "Nd", "Nd", "Nd", "Nd", "Nd", "Dy", "Tm", "Tm", "Tm", "Tm", "Tm", "Tm"],
  "fractional_positions": [[0.057, 0.372, 0.580], [0.104, 0.737, 0.157], [0.157, 0.104, 0.737], [0.263, 0.843, 0.896], [0.372, 0.580, 0.057], [0.420, 0.943, 0.628], [0.580, 0.057, 0.372], [0.628, 0.420, 0.943], [0.737, 0.157, 0.104], [0.843, 0.896, 0.263], [0.896, 0.263, 0.843], [0.943, 0.628, 0.420], [0.000, 0.000, 0.000], [0.215, 0.472, 0.318], [0.318, 0.214, 0.472], [0.472, 0.318, 0.215], [0.528, 0.682, 0.786], [0.682, 0.785, 0.528], [0.785, 0.528, 0.682]],
  "volume_a3_per_fu": 633,
  "final_energy_ev_per_cell": -88.30,
  "e_above_lowest_polymorph_ev_per_atom": 0.000,
  "total_magnetization_mub_per_atom": 0.0000,
  "delta_e_f_mev_per_atom": 18
}

***

(5)
{
  "formula": "Nd2DyTm6",
  "functional": "PBE-GGA",
  "state": "relaxed",
  "cell": [[6.373, -7.061, 0.000], [6.373, 7.061, 0.000], [-1.519, 0.000, 6.335]],
  "species": ["Nd", "Nd", "Nd", "Nd", "Dy", "Dy", "Tm", "Tm", "Tm", "Tm", "Tm", "Tm", "Tm", "Tm", "Tm", "Tm", "Tm", "Tm"],
  "fractional_positions": [[0.117, 0.170, 0.375], [0.170, 0.117, 0.875], [0.830, 0.883, 0.125], [0.883, 0.830, 0.625], [0.382, 0.618, 0.750], [0.618, 0.382, 0.250], [0.039, 0.442, 0.733], [0.154, 0.776, 0.997], [0.224, 0.846, 0.503], [0.279, 0.457, 0.185], [0.442, 0.039, 0.233], [0.457, 0.279, 0.685], [0.543, 0.721, 0.315], [0.558, 0.961, 0.767], [0.721, 0.543, 0.815], [0.776, 0.154, 0.497], [0.846, 0.224, 0.003], [0.961, 0.558, 0.267]],
  "volume_a3_per_fu": 285,
  "final_energy_ev_per_cell": -79.94,
  "total_magnetization_mub_per_atom": 0.0000,
  "delta_e_f_mev_per_atom": 111
}

***

(6)
{
  "formula": "Nd7DyTm3",
  "functional": "PBE-GGA",
  "state": "relaxed",
  "cell": [[6.380, -5.702, 0.000], [6.380, 5.702, 0.000], [-2.716, 0.000, 5.228]],
  "species": ["Nd", "Nd", "Nd", "Nd", "Nd", "Nd", "Nd", "Dy", "Tm", "Tm", "Tm"],
  "fractional_positions": [[0.000, 0.000, 0.000], [0.097, 0.519, 0.308], [0.292, 0.292, 0.793], [0.481, 0.903, 0.692], [0.519, 0.097, 0.308], [0.708, 0.708, 0.207], [0.903, 0.481, 0.692], [0.000, 0.000, 0.500], [0.295, 0.705, 0.000], [0.500, 0.500, 0.500], [0.705, 0.295, 0.000]],
  "volume_a3_per_fu": 380,
  "final_energy_ev_per_cell": -48.90,
  "e_above_lowest_polymorph_ev_per_atom": 0.044,
  "total_magnetization_mub_per_atom": 0.0000,
  "delta_e_f_mev_per_atom": 227
}

***

(7)
{
  "formula": "NdDy7Tm3",
  "functional": "PBE-GGA",
  "state": "relaxed",
  "cell": [[7.038, 0.000, 0.000], [-3.519, 6.095, 0.000], [0.000, 0.000, 8.546]],
  "species": ["Nd", "Dy", "Dy", "Dy", "Dy", "Dy", "Dy", "Dy", "Tm", "Tm", "Tm"],
  "fractional_positions": [[0.000, 0.000, 0.000], [0.003, 0.501, 0.006], [0.331, 0.165, 0.669], [0.333, 0.667, 0.675], [0.499, 0.501, 0.006], [0.499, 0.997, 0.006], [0.835, 0.165, 0.669], [0.835, 0.669, 0.669], [0.167, 0.335, 0.339], [0.167, 0.833, 0.339], [0.665, 0.833, 0.339]],
  "volume_a3_per_fu": 367,
  "final_energy_ev_per_cell": -48.22,
  "e_above_lowest_polymorph_ev_per_atom": 0.055,
  "total_magnetization_mub_per_atom": 0.0000,
  "delta_e_f_mev_per_atom": 198
}

***

(8)
{
  "formula": "Nd5Dy2Tm3",
  "functional": "PBE-GGA",
  "state": "relaxed",
  "cell": [[5.343, -7.445, 0.000], [5.343, 7.445, 0.000], [-5.340, 0.000, 8.461]],
  "species": ["Nd", "Nd", "Nd", "Nd", "Nd", "Nd", "Nd", "Nd", "Nd", "Nd", "Dy", "Dy", "Dy", "Dy", "Tm", "Tm", "Tm", "Tm", "Tm", "Tm"],
  "fractional_positions": [[0.021, 0.979, 0.750], [0.134, 0.373, 0.755], [0.230, 0.770, 0.750], [0.271, 0.729, 0.250], [0.373, 0.134, 0.255], [0.627, 0.866, 0.745], [0.729, 0.271, 0.750], [0.770, 0.230, 0.250], [0.866, 0.627, 0.245], [0.979, 0.021, 0.250], [0.225, 0.466, 0.443], [0.466, 0.225, 0.943], [0.534, 0.775, 0.057], [0.775, 0.534, 0.557], [0.030, 0.278, 0.058], [0.278, 0.030, 0.558], [0.477, 0.523, 0.250], [0.523, 0.477, 0.750], [0.722, 0.970, 0.442], [0.970, 0.722, 0.942]],
  "volume_a3_per_fu": 337,
  "final_energy_ev_per_cell": -89.28,
  "e_above_lowest_polymorph_ev_per_atom": 0.000,
  "total_magnetization_mub_per_atom": 0.0000,
  "delta_e_f_mev_per_atom": 182
}